1.
! SbSe (GGA-PBE, optimized geometry); values from VASP
&SYSTEM
  ibrav = 0, nat = 4, ntyp = 2
/
ATOMIC_SPECIES
Sb 121.76 Sb.upf
Se 78.96 Se.upf
CELL_PARAMETERS angstrom
-1.767 0.204 -3.547
0.205 -4.143 -0.341
-7.468 -2.555 1.365
ATOMIC_POSITIONS angstrom
Sb -3.034 -0.835 -1.359
Sb -5.497 -5.221 -0.387
Se -6.945 -3.416 -1.782
Se -1.554 -3.290 -0.017
! Density of states at the Fermi level: 0.093 states/eV/f.u.
! Symmetry: P1, No. 1
! Raw formation energy: -0.292 eV per formula unit
! Total DFT energy (no corrections): -3.95 eV per atom

=====

2.
! Cs2CoI2Cl4 (GGA-PBE, optimized geometry); values from VASP
&SYSTEM
  ibrav = 0, nat = 9, ntyp = 4
/
ATOMIC_SPECIES
Cl 35.45 Cl.upf
Cs 132.91 Cs.upf
I 126.90 I.upf
Co 58.93 Co.upf
CELL_PARAMETERS angstrom
-2.194 1.659 -6.842
-5.413 -3.059 3.966
1.929 6.012 3.810
ATOMIC_POSITIONS angstrom
Cl -4.022 -1.340 3.936
Cl 0.538 4.294 3.840
Cl -1.491 1.188 -1.119
Cl -4.187 3.424 2.053
Cs -4.675 0.038 0.506
Cs -1.004 4.574 0.428
I -2.303 1.952 5.141
I -1.181 1.001 2.635
Co 0.000 0.000 0.000
! Density of states at the Fermi level: 8.078 states/eV/f.u.
! Symmetry: I4/mmm, No. 139
! Raw formation energy: -9.373 eV per formula unit
! Total DFT energy (no corrections): -3.19 eV per atom

=====

3.
! FeCoAs2 (GGA-PBE, optimized geometry); values from VASP
&SYSTEM
  ibrav = 0, nat = 4, ntyp = 3
/
ATOMIC_SPECIES
As 74.92 As.upf
Co 58.93 Co.upf
Fe 55.84 Fe.upf
CELL_PARAMETERS angstrom
-5.099 4.966 2.138
-4.048 4.072 4.719
-2.650 6.155 3.213
ATOMIC_POSITIONS angstrom
As -0.006 0.008 0.005
As -5.893 7.589 5.030
Co -2.949 3.798 2.517
Fe -8.848 11.395 7.552
! Density of states at the Fermi level: 2.497 states/eV/f.u.
! Formation enthalpy at 0 K: 0.069 eV/atom
! Symmetry: R-3m, No. 166
! Total DFT energy (no corrections): -6.15 eV per atom
! Offset from the most stable computed form: 13.3 kJ/mol of atoms

=====

Let's list M_tot in order: 0.0; 1.0; 0.7 μB/cell.